(1)
# Tl3Ga2Sn2 PBE-GGA optimized geometry
# Calculated formation energy   0.075 eV per atom
# Raw total energy   -2.948 eV per atom
# Spin magnetization   0.00 μB per formula unit
data_Tl3Ga2Sn2
_chemical_formula_sum 'Tl12 Ga8 Sn8'
_space_group_name_H-M_alt 'P b c m'
_space_group_IT_number 57
_cell_length_a 6.483
_cell_length_b 8.274
_cell_length_c 14.891
_cell_angle_alpha 90.00
_cell_angle_beta 90.00
_cell_angle_gamma 90.00
loop_
_space_group_symop_operation_xyz
'x,y,z'
'-x,-y,-z'
'-x,-y,z+1/2'
'x,y,-z+1/2'
'x,-y+1/2,-z'
'-x,y+1/2,z'
'-x,y+1/2,-z+1/2'
'x,-y+1/2,z+1/2'
loop_
_atom_site_label
_atom_site_type_symbol
_atom_site_fract_x
_atom_site_fract_y
_atom_site_fract_z
Tl1 Tl 0.135 0.092 0.100
Tl2 Tl 0.357 0.742 0.750
Ga1 Ga 0.088 0.133 0.750
Ga2 Ga 0.375 0.750 0.000
Sn1 Sn 0.355 0.038 0.603

(2)
# Na2In3Hg7 PBE-GGA optimized geometry
# Calculated formation energy   -0.059 eV per atom
# Raw total energy   -1.140 eV per atom
# Spin magnetization   0.00 μB per formula unit
data_Na2In3Hg7
_chemical_formula_sum 'Na2 In3 Hg7'
_space_group_name_H-M_alt 'P 1 2/m 1'
_space_group_IT_number 10
_cell_length_a 5.117
_cell_length_b 3.451
_cell_length_c 18.530
_cell_angle_alpha 90.00
_cell_angle_beta 96.25
_cell_angle_gamma 90.00
loop_
_space_group_symop_operation_xyz
'x,y,z'
'-x,-y,-z'
'-x,y,-z'
'x,-y,z'
loop_
_atom_site_label
_atom_site_type_symbol
_atom_site_fract_x
_atom_site_fract_y
_atom_site_fract_z
Na1 Na 0.164 0.000 0.290
In1 In 0.000 0.000 0.000
In2 In 0.294 0.500 0.611
Hg1 Hg 0.108 0.500 0.143
Hg2 Hg 0.231 0.000 0.453
Hg3 Hg 0.372 0.000 0.803
Hg4 Hg 0.500 0.500 0.000

(3)
# La2YSc PBE-GGA optimized geometry
# Calculated formation energy   0.056 eV per atom
# Raw total energy   -5.607 eV per atom
# Spin magnetization   0.00 μB per formula unit
data_La2YSc
_chemical_formula_sum 'La2 Y1 Sc1'
_space_group_name_H-M_alt 'P 1 m 1'
_space_group_IT_number 6
_cell_length_a 3.601
_cell_length_b 5.070
_cell_length_c 7.063
_cell_angle_alpha 90.00
_cell_angle_beta 90.01
_cell_angle_gamma 90.00
loop_
_space_group_symop_operation_xyz
'x,y,z'
'x,-y,z'
loop_
_atom_site_label
_atom_site_type_symbol
_atom_site_fract_x
_atom_site_fract_y
_atom_site_fract_z
La1 La 0.000 0.000 0.000
La2 La 0.498 0.500 0.257
Y1 Y 0.501 0.500 0.738
Sc1 Sc 0.999 0.000 0.506

(4)
# Rb3Na5Cd2 PBE-GGA optimized geometry
# Calculated formation energy   -0.010 eV per atom
# Raw total energy   -1.142 eV per atom
# Spin magnetization   0.00 μB per formula unit
data_Rb3Na5Cd2
_chemical_formula_sum 'Rb6 Na10 Cd4'
_space_group_name_H-M_alt 'P 4/m b m'
_space_group_IT_number 127
_space_group_name_Hall '-P 4 2ab'
_cell_length_a 13.399
_cell_length_b 13.399
_cell_length_c 5.103
_cell_angle_alpha 90.00
_cell_angle_beta 90.00
_cell_angle_gamma 90.00
loop_
_atom_site_label
_atom_site_type_symbol
_atom_site_fract_x
_atom_site_fract_y
_atom_site_fract_z
Rb1 Rb 0.000 0.000 0.000
Rb2 Rb 0.176 0.324 0.000
Na1 Na 0.000 0.500 0.500
Na2 Na 0.072 0.763 0.500
Cd1 Cd 0.114 0.614 0.000

(5)
# NdCu4Pd8 PBE-GGA optimized geometry
# Calculated formation energy   -0.316 eV per atom
# Raw total energy   -5.139 eV per atom
# Spin magnetization   0.00 μB per formula unit
data_NdCu4Pd8
_chemical_formula_sum 'Nd2 Cu8 Pd16'
_space_group_name_H-M_alt 'I 4/m m m'
_space_group_IT_number 139
_space_group_name_Hall '-I 4 2'
_cell_length_a 8.985
_cell_length_b 8.985
_cell_length_c 5.026
_cell_angle_alpha 90.00
_cell_angle_beta 90.00
_cell_angle_gamma 90.00
loop_
_atom_site_label
_atom_site_type_symbol
_atom_site_fract_x
_atom_site_fract_y
_atom_site_fract_z
Nd1 Nd 0.000 0.000 0.000
Cu1 Cu 0.250 0.250 0.250
Pd1 Pd 0.000 0.219 0.500
Pd2 Pd 0.000 0.349 0.000

(6)
# HPdRuW2 PBE-GGA optimized geometry
# Raw total energy   -8.619 eV per atom
# Spin magnetization   0.00 μB per formula unit
data_HPdRuW2
_chemical_formula_sum 'H1 Pd1 Ru1 W2'
_space_group_name_H-M_alt 'P 4/m m m'
_space_group_IT_number 123
_space_group_name_Hall '-P 4 2'
_cell_length_a 3.960
_cell_length_b 3.960
_cell_length_c 4.017
_cell_angle_alpha 90.00
_cell_angle_beta 90.00
_cell_angle_gamma 90.00
loop_
_atom_site_label
_atom_site_type_symbol
_atom_site_fract_x
_atom_site_fract_y
_atom_site_fract_z
H1 H 0.000 0.000 0.000
Pd1 Pd 0.000 0.000 0.500
Ru1 Ru 0.500 0.500 0.500
W1 W 0.000 0.500 0.000

(7)
# SmHfCoCu PBE-GGA optimized geometry
# Calculated formation energy   -0.068 eV per atom
# Raw total energy   -6.537 eV per atom
# Spin magnetization   0.00 μB per formula unit
data_SmHfCoCu
_chemical_formula_sum 'Sm4 Hf4 Co4 Cu4'
_space_group_name_H-M_alt 'F -4 3 m'
_space_group_IT_number 216
_space_group_name_Hall 'F -4 2 3'
_cell_length_a 6.662
_cell_length_b 6.662
_cell_length_c 6.662
_cell_angle_alpha 90.00
_cell_angle_beta 90.00
_cell_angle_gamma 90.00
loop_
_atom_site_label
_atom_site_type_symbol
_atom_site_fract_x
_atom_site_fract_y
_atom_site_fract_z
Sm1 Sm 0.000 0.000 0.000
Hf1 Hf 0.000 0.000 0.500
Co1 Co 0.250 0.250 0.250
Cu1 Cu 0.250 0.250 0.750

(8)
# AcTb2Dy PBE-GGA optimized geometry
# Calculated formation energy   0.054 eV per atom
# Raw total energy   -4.439 eV per atom
# Spin magnetization   0.00 μB per formula unit
data_AcTb2Dy
_chemical_formula_sum 'Ac1 Tb2 Dy1'
_space_group_name_H-M_alt 'P 4/m m m'
_space_group_IT_number 123
_space_group_name_Hall '-P 4 2'
_cell_length_a 5.170
_cell_length_b 5.170
_cell_length_c 5.186
_cell_angle_alpha 90.00
_cell_angle_beta 90.00
_cell_angle_gamma 90.00
loop_
_atom_site_label
_atom_site_type_symbol
_atom_site_fract_x
_atom_site_fract_y
_atom_site_fract_z
Ac1 Ac 0.000 0.000 0.000
Tb1 Tb 0.000 0.500 0.500
Dy1 Dy 0.500 0.500 0.000

(9)
# BiP2PbCl PBE-GGA optimized geometry
# Formation energy without anion corrections   614 meV/atom
# Raw total energy   -3.437 eV per atom
# Spin magnetization   0.18 μB per formula unit
data_BiP2PbCl
_chemical_formula_sum 'Bi1 P2 Pb1 Cl1'
_space_group_name_H-M_alt 'P 4/m m m'
_space_group_IT_number 123
_space_group_name_Hall '-P 4 2'
_cell_length_a 5.670
_cell_length_b 5.670
_cell_length_c 5.609
_cell_angle_alpha 90.00
_cell_angle_beta 90.00
_cell_angle_gamma 90.00
loop_
_atom_site_label
_atom_site_type_symbol
_atom_site_fract_x
_atom_site_fract_y
_atom_site_fract_z
Bi1 Bi 0.000 0.000 0.000
P1 P 0.000 0.500 0.000
Pb1 Pb 0.500 0.500 0.500
Cl1 Cl 0.000 0.000 0.500

(10)
# Ca8InN4 PBE-GGA optimized geometry
# Formation energy without anion corrections   -725 meV/atom
# Raw total energy   -4.729 eV per atom
# Spin magnetization   0.37 μB per formula unit
data_Ca8InN4
_chemical_formula_sum 'Ca16 In2 N8'
_space_group_name_H-M_alt 'I 4/m'
_space_group_IT_number 87
_space_group_name_Hall '-I 4'
_cell_length_a 12.389
_cell_length_b 12.389
_cell_length_c 3.691
_cell_angle_alpha 90.00
_cell_angle_beta 90.00
_cell_angle_gamma 90.00
loop_
_atom_site_label
_atom_site_type_symbol
_atom_site_fract_x
_atom_site_fract_y
_atom_site_fract_z
Ca1 Ca 0.042 0.670 0.000
Ca2 Ca 0.151 0.194 0.500
In1 In 0.000 0.000 0.000
N1 N 0.155 0.336 0.000

(11)
# Sr2BeCd PBE-GGA optimized geometry
# Calculated formation energy   0.143 eV per atom
# Raw total energy   -1.859 eV per atom
# Spin magnetization   0.00 μB per formula unit
data_Sr2BeCd
_chemical_formula_sum 'Sr4 Be2 Cd2'
_space_group_name_H-M_alt 'I m m 2'
_space_group_IT_number 44
_cell_length_a 3.777
_cell_length_b 5.544
_cell_length_c 11.213
_cell_angle_alpha 90.00
_cell_angle_beta 90.00
_cell_angle_gamma 90.00
loop_
_space_group_symop_operation_xyz
'x,y,z'
'-x,-y,z'
'-x,y,z'
'x,-y,z'
'x+1/2,y+1/2,z+1/2'
'-x+1/2,-y+1/2,z+1/2'
'-x+1/2,y+1/2,z+1/2'
'x+1/2,-y+1/2,z+1/2'
loop_
_atom_site_label
_atom_site_type_symbol
_atom_site_fract_x
_atom_site_fract_y
_atom_site_fract_z
Sr1 Sr 0.000 0.000 0.000
Sr2 Sr 0.000 0.500 0.194
Be1 Be 0.000 0.500 0.746
Cd1 Cd 0.000 0.000 0.402

(12)
# MnHW PBE-GGA optimized geometry
# Raw total energy   -8.327 eV per atom
# Spin magnetization   0.00 μB per formula unit
data_MnHW
_chemical_formula_sum 'Mn4 H4 W4'
_space_group_name_H-M_alt 'P -1'
_space_group_IT_number 2
_cell_length_a 4.784
_cell_length_b 5.041
_cell_length_c 5.374
_cell_angle_alpha 68.65
_cell_angle_beta 78.57
_cell_angle_gamma 87.33
loop_
_space_group_symop_operation_xyz
'x,y,z'
'-x,-y,-z'
loop_
_atom_site_label
_atom_site_type_symbol
_atom_site_fract_x
_atom_site_fract_y
_atom_site_fract_z
Mn1 Mn 0.095 0.264 0.152
Mn2 Mn 0.275 0.902 0.467
H1 H 0.351 0.460 0.886
H2 H 0.448 0.222 0.344
W1 W 0.211 0.344 0.625
W2 W 0.330 0.774 0.037

(13)
# MgAg2Cl4 PBE-GGA optimized geometry
# Formation energy without anion corrections   -1038 meV/atom
# Raw total energy   -3.136 eV per atom
# Spin magnetization   0.00 μB per formula unit
data_MgAg2Cl4
_chemical_formula_sum 'Mg4 Ag8 Cl16'
_space_group_name_H-M_alt 'P 41 2 2'
_space_group_IT_number 91
_cell_length_a 7.880
_cell_length_b 7.880
_cell_length_c 10.967
_cell_angle_alpha 90.00
_cell_angle_beta 90.00
_cell_angle_gamma 90.00
loop_
_space_group_symop_operation_xyz
'x,y,z'
'-y,x,z+1/4'
'-x,-y,z+1/2'
'y,-x,z+3/4'
'x,-y,-z+1/2'
'-y,-x,-z+1/4'
'-x,y,-z'
'y,x,-z+3/4'
loop_
_atom_site_label
_atom_site_type_symbol
_atom_site_fract_x
_atom_site_fract_y
_atom_site_fract_z
Mg1 Mg 0.000 0.246 0.000
Ag1 Ag 0.252 0.252 0.375
Ag2 Ag 0.254 0.500 0.750
Cl1 Cl 0.016 0.229 0.768
Cl2 Cl 0.228 0.466 0.005

(14)
# Sc4MnPt PBE-GGA optimized geometry
# Calculated formation energy   0.270 eV per atom
# Raw total energy   -6.486 eV per atom
# Spin magnetization   2.95 μB per formula unit
data_Sc4MnPt
_chemical_formula_sum 'Sc16 Mn4 Pt4'
_space_group_name_H-M_alt 'F -4 3 m'
_space_group_IT_number 216
_space_group_name_Hall 'F -4 2 3'
_cell_length_a 7.827
_cell_length_b 7.827
_cell_length_c 7.827
_cell_angle_alpha 90.00
_cell_angle_beta 90.00
_cell_angle_gamma 90.00
loop_
_atom_site_label
_atom_site_type_symbol
_atom_site_fract_x
_atom_site_fract_y
_atom_site_fract_z
Sc1 Sc 0.125 0.125 0.125
Mn1 Mn 0.250 0.250 0.750
Pt1 Pt 0.000 0.000 0.500

(15)
# KSiMo2 PBE-GGA optimized geometry
# Formation energy without anion corrections   1123 meV/atom
# Raw total energy   -5.923 eV per atom
# Spin magnetization   0.00 μB per formula unit
data_KSiMo2
_chemical_formula_sum 'K2 Si2 Mo4'
_space_group_name_H-M_alt 'I m m 2'
_space_group_IT_number 44
_cell_length_a 2.965
_cell_length_b 5.395
_cell_length_c 10.149
_cell_angle_alpha 90.00
_cell_angle_beta 90.00
_cell_angle_gamma 90.00
loop_
_space_group_symop_operation_xyz
'x,y,z'
'-x,-y,z'
'-x,y,z'
'x,-y,z'
'x+1/2,y+1/2,z+1/2'
'-x+1/2,-y+1/2,z+1/2'
'-x+1/2,y+1/2,z+1/2'
'x+1/2,-y+1/2,z+1/2'
loop_
_atom_site_label
_atom_site_type_symbol
_atom_site_fract_x
_atom_site_fract_y
_atom_site_fract_z
K1 K 0.000 0.000 0.000
Si1 Si 0.000 0.500 0.204
Mo1 Mo 0.000 0.000 0.485
Mo2 Mo 0.000 0.500 0.792

(16)
# NiP PBE-GGA optimized geometry
# Calculated formation energy   -0.018 eV per atom
# Raw total energy   -5.614 eV per atom
# Spin magnetization   0.00 μB per formula unit
data_NiP
_chemical_formula_sum 'Ni1 P1'
_space_group_name_H-M_alt 'P m -3 m'
_space_group_IT_number 221
_space_group_name_Hall '-P 4 2 3'
_cell_length_a 2.881
_cell_length_b 2.881
_cell_length_c 2.881
_cell_angle_alpha 90.00
_cell_angle_beta 90.00
_cell_angle_gamma 90.00
loop_
_atom_site_label
_atom_site_type_symbol
_atom_site_fract_x
_atom_site_fract_y
_atom_site_fract_z
Ni1 Ni 0.000 0.000 0.000
P1 P 0.500 0.500 0.500

(17)
# LaGa5Pd2Au PBE-GGA optimized geometry
# Calculated formation energy   -0.375 eV per atom
# Raw total energy   -4.122 eV per atom
# Spin magnetization   0.00 μB per formula unit
data_LaGa5Pd2Au
_chemical_formula_sum 'La1 Ga5 Pd2 Au1'
_space_group_name_H-M_alt 'P 4/m m m'
_space_group_IT_number 123
_space_group_name_Hall '-P 4 2'
_cell_length_a 4.400
_cell_length_b 4.400
_cell_length_c 10.184
_cell_angle_alpha 90.00
_cell_angle_beta 90.00
_cell_angle_gamma 90.00
loop_
_atom_site_label
_atom_site_type_symbol
_atom_site_fract_x
_atom_site_fract_y
_atom_site_fract_z
La1 La 0.000 0.000 0.000
Ga1 Ga 0.000 0.500 0.346
Ga2 Ga 0.500 0.500 0.000
Pd1 Pd 0.500 0.500 0.231
Au1 Au 0.000 0.000 0.500

(18)
# BaIrRh PBE-GGA optimized geometry
# Calculated formation energy   0.019 eV per atom
# Raw total energy   -6.026 eV per atom
# Spin magnetization   0.00 μB per formula unit
data_BaIrRh
_chemical_formula_sum 'Ba4 Ir4 Rh4'
_space_group_name_H-M_alt 'P 1 21/c 1'
_space_group_IT_number 14
_cell_length_a 6.691
_cell_length_b 7.142
_cell_length_c 7.945
_cell_angle_alpha 90.00
_cell_angle_beta 120.93
_cell_angle_gamma 90.00
loop_
_space_group_symop_operation_xyz
'x,y,z'
'-x,-y,-z'
'-x,y+1/2,-z+1/2'
'x,-y+1/2,z+1/2'
loop_
_atom_site_label
_atom_site_type_symbol
_atom_site_fract_x
_atom_site_fract_y
_atom_site_fract_z
Ba1 Ba 0.193 0.129 0.367
Ir1 Ir 0.387 0.582 0.332
Rh1 Rh 0.318 0.672 0.607

(19)
# LaOs2 PBE-GGA optimized geometry
# Calculated formation energy   0.253 eV per atom
# Raw total energy   -8.876 eV per atom
# Spin magnetization   0.00 μB per formula unit
data_LaOs2
_chemical_formula_sum 'La2 Os4'
_space_group_name_H-M_alt 'I 4/m m m'
_space_group_IT_number 139
_space_group_name_Hall '-I 4 2'
_cell_length_a 2.964
_cell_length_b 2.964
_cell_length_c 13.083
_cell_angle_alpha 90.00
_cell_angle_beta 90.00
_cell_angle_gamma 90.00
loop_
_atom_site_label
_atom_site_type_symbol
_atom_site_fract_x
_atom_site_fract_y
_atom_site_fract_z
La1 La 0.000 0.000 0.000
Os1 Os 0.000 0.000 0.308